VASP calculation (PBE) on a relaxed LaTb6Y2Er3 crystal.

abc: 6.173 6.173 11.828
angles: 94.97 94.97 119.97
Element x y z (fractional)
Tb 0.915 0.581 0.746
Er 0.167 0.833 0.500
Er 0.500 0.500 0.500
La 0.000 0.000 0.000
Tb 0.751 0.751 0.254
Tb 0.419 0.085 0.254
Tb 0.249 0.249 0.746
Er 0.833 0.167 0.500
Tb 0.085 0.419 0.254
Y 0.333 0.667 0.000
Tb 0.581 0.915 0.746
Y 0.667 0.333 0.000

Results
The calculation puts the electronic total energy at -59.06 eV/cell. As for the size of the total moment: 0.0 Bohr magnetons per cell. For the formation energy, the calculation gives 21.9 meV per atom.